[1]
## LaPrNiI (PBE)

Data for a relaxed LaPrNiI crystal.

Cell and atoms, written as CIF:
```
data_LaPrNiI
_chemical_formula_sum 'La1 Pr1 Ni1 I1'
_space_group_name_H-M_alt 'P 1'
_space_group_IT_number 1
_cell_length_a 8.528
_cell_length_b 8.528
_cell_length_c 8.528
_cell_angle_alpha 28.44
_cell_angle_beta 28.44
_cell_angle_gamma 28.44
loop_
_space_group_symop_operation_xyz
'x,y,z'
loop_
_atom_site_label
_atom_site_type_symbol
_atom_site_fract_x
_atom_site_fract_y
_atom_site_fract_z
La1 La 0.000 0.000 0.000
Pr1 Pr 0.788 0.788 0.788
Ni1 Ni 0.393 0.393 0.393
I1 I 0.561 0.561 0.561
```

Computed properties:
As for the space group: R3m (160). The calculated volume comes out at 124.31 Å³/f.u. The total energy comes out at -19.8 eV per formula unit.



[2]
## La6Ni2PtI3 (PBE)

Data for a relaxed La6Ni2PtI3 crystal.

Cell and atoms, written as CIF:
```
data_La6Ni2PtI3
_chemical_formula_sum 'La6 Ni2 Pt1 I3'
_space_group_name_H-M_alt 'P 1'
_space_group_IT_number 1
_cell_length_a 7.376
_cell_length_b 7.376
_cell_length_c 8.588
_cell_angle_alpha 98.22
_cell_angle_beta 98.22
_cell_angle_gamma 120.07
loop_
_space_group_symop_operation_xyz
'x,y,z'
loop_
_atom_site_label
_atom_site_type_symbol
_atom_site_fract_x
_atom_site_fract_y
_atom_site_fract_z
La1 La 0.097 0.438 0.816
La2 La 0.220 0.220 0.184
La3 La 0.438 0.097 0.816
La4 La 0.562 0.903 0.184
La5 La 0.780 0.780 0.816
La6 La 0.903 0.562 0.184
Ni1 Ni 0.167 0.833 0.000
Ni2 Ni 0.833 0.167 0.000
Pt1 Pt 0.500 0.500 0.000
I1 I 0.000 0.000 0.500
I2 I 0.334 0.666 0.500
I3 I 0.666 0.334 0.500
```

Computed properties:
As for the space group: C2/m (12). The calculated volume comes out at 387.40 Å³/f.u. The total energy comes out at -62.6 eV per formula unit.



[3]
## La8NiPt3I4 (PBE)

Data for a relaxed La8NiPt3I4 crystal.

Cell and atoms, written as CIF:
```
data_La8NiPt3I4
_chemical_formula_sum 'La8 Ni1 Pt3 I4'
_space_group_name_H-M_alt 'P 1'
_space_group_IT_number 1
_cell_length_a 8.622
_cell_length_b 8.622
_cell_length_c 9.633
_cell_angle_alpha 116.64
_cell_angle_beta 116.64
_cell_angle_gamma 59.97
loop_
_space_group_symop_operation_xyz
'x,y,z'
loop_
_atom_site_label
_atom_site_type_symbol
_atom_site_fract_x
_atom_site_fract_y
_atom_site_fract_z
La1 La 0.226 0.226 0.686
La2 La 0.226 0.735 0.686
La3 La 0.265 0.774 0.314
La4 La 0.270 0.270 0.312
La5 La 0.730 0.730 0.688
La6 La 0.735 0.226 0.686
La7 La 0.774 0.265 0.314
La8 La 0.774 0.774 0.314
Ni1 Ni 0.000 0.000 0.500
Pt1 Pt 0.000 0.500 0.500
Pt2 Pt 0.500 0.000 0.500
Pt3 Pt 0.500 0.500 0.500
I1 I 0.000 0.000 0.000
I2 I 0.000 0.500 0.000
I3 I 0.500 0.000 0.000
I4 I 0.500 0.500 0.000
```

Computed properties:
As for the space group: C2/m (12). The calculated volume comes out at 530.53 Å³/f.u. The total energy comes out at -87.2 eV per formula unit.



[4]
## La4NiPtI2 (PBE)

Data for a relaxed La4NiPtI2 crystal.

Cell and atoms, written as CIF:
```
data_La4NiPtI2
_chemical_formula_sum 'La4 Ni1 Pt1 I2'
_space_group_name_H-M_alt 'P 1'
_space_group_IT_number 1
_cell_length_a 7.296
_cell_length_b 4.356
_cell_length_c 8.557
_cell_angle_alpha 90.00
_cell_angle_beta 106.41
_cell_angle_gamma 90.00
loop_
_space_group_symop_operation_xyz
'x,y,z'
loop_
_atom_site_label
_atom_site_type_symbol
_atom_site_fract_x
_atom_site_fract_y
_atom_site_fract_z
La1 La 0.229 0.000 0.186
La2 La 0.257 0.500 0.815
La3 La 0.743 0.500 0.185
La4 La 0.771 0.000 0.814
Ni1 Ni 0.000 0.500 0.000
Pt1 Pt 0.500 0.000 0.000
I1 I 0.000 0.000 0.500
I2 I 0.500 0.500 0.500
```

Computed properties:
As for the space group: P2/m (10). The calculated volume comes out at 260.87 Å³/f.u. The total energy comes out at -42.4 eV per formula unit.



Question: Among the records above, which one has the highest calculated volume?
Answer: La8NiPt3I4